Ca2ZnRu | PBE-GGA | relaxed

crystal system	orthorhombic

Cell and atoms, written as POSCAR:
```
Ca2ZnRu
1.0
4.3046 0.0000 0.0000
0.0000 2.0648 5.4565
0.0000 -2.0648 5.4565
Ca Zn Ru
2 1 1
direct
0.0000 0.0000 0.0000
0.5000 0.2862 0.2862
0.0000 0.7005 0.7005
0.5000 0.5842 0.5842
```

***

Ca4ZnRu | PBE-GGA | relaxed

crystal system	monoclinic
energy above the most stable polymorph in this dataset	0	meV per atom

Cell and atoms, written as POSCAR:
```
Ca4ZnRu
1.0
4.6545 -6.8372 0.0000
4.6545 6.8372 0.0000
-3.2272 0.0000 5.5608
Ca Zn Ru
8 2 2
direct
0.0549 0.7177 0.9178
0.2207 0.3489 0.7018
0.2823 0.9451 0.5822
0.3489 0.2207 0.2018
0.6511 0.7793 0.7982
0.7177 0.0549 0.4178
0.7793 0.6511 0.2982
0.9451 0.2823 0.0822
0.3656 0.6344 0.2500
0.6344 0.3656 0.7500
0.0012 0.9988 0.7500
0.9988 0.0012 0.2500
```

***

Ca2ZnRu | PBE-GGA | relaxed

crystal system	tetragonal

Cell and atoms, written as POSCAR:
```
Ca2ZnRu
1.0
3.4950 0.0000 0.0000
0.0000 3.4950 0.0000
0.0000 0.0000 7.3339
Ca Zn Ru
2 1 1
direct
0.0000 0.0000 0.2252
0.0000 0.0000 0.7748
0.5000 0.5000 0.5000
0.5000 0.5000 0.0000
```

***

CaZn2Ru | PBE-GGA | relaxed

crystal system	orthorhombic

Cell and atoms, written as POSCAR:
```
CaZn2Ru
1.0
3.3537 0.0000 0.0000
0.0000 3.3702 0.0000
0.0000 0.0000 6.2801
Ca Zn Ru
1 2 1
direct
0.0000 0.0000 0.0000
0.5000 0.5000 0.3036
0.5000 0.5000 0.6964
0.0000 0.0000 0.5000
```

***

CaZnRu | PBE-GGA | relaxed

crystal system	cubic

Cell and atoms, written as POSCAR:
```
CaZnRu
1.0
0.0000 3.2406 3.2406
3.2406 0.0000 3.2406
3.2406 3.2406 0.0000
Ca Zn Ru
1 1 1
direct
0.0000 0.0000 0.0000
0.7500 0.7500 0.7500
0.2500 0.2500 0.2500
```

***

CaZr2Ru | PBE-GGA | relaxed

crystal system	tetragonal
energy above the most stable polymorph in this dataset	48	meV per atom

Cell and atoms, written as POSCAR:
```
CaZr2Ru
1.0
3.1912 0.0000 0.0000
0.0000 3.1912 0.0000
0.0000 0.0000 9.4052
Ca Zr Ru
1 2 1
direct
0.0000 0.0000 0.0000
0.5000 0.5000 0.3216
0.5000 0.5000 0.6784
0.0000 0.0000 0.5000
```

***

CaZrRu2 | PBE-GGA | relaxed

crystal system	cubic
energy above the most stable polymorph in this dataset	477	meV per atom

Cell and atoms, written as POSCAR:
```
CaZrRu2
1.0
0.0000 3.2993 3.2993
3.2993 0.0000 3.2993
3.2993 3.2993 0.0000
Ca Zr Ru
1 1 2
direct
0.0000 0.0000 0.0000
0.2500 0.2500 0.2500
0.5000 0.5000 0.5000
0.7500 0.7500 0.7500
```

***

CaZr2Ru | PBE-GGA | relaxed

crystal system	cubic
energy above the most stable polymorph in this dataset	231	meV per atom

Cell and atoms, written as POSCAR:
```
CaZr2Ru
1.0
0.0000 3.4589 3.4589
3.4589 0.0000 3.4589
3.4589 3.4589 0.0000
Ca Zr Ru
1 2 1
direct
0.0000 0.0000 0.0000
0.2500 0.2500 0.2500
0.7500 0.7500 0.7500
0.5000 0.5000 0.5000
```

***

CaZr2Ru | PBE-GGA | relaxed

crystal system	tetragonal
energy above the most stable polymorph in this dataset	320	meV per atom

Cell and atoms, written as POSCAR:
```
CaZr2Ru
1.0
4.8297 0.0000 0.0000
0.0000 4.8297 0.0000
0.0000 0.0000 3.5983
Ca Zr Ru
1 2 1
direct
0.0000 0.0000 0.0000
0.0000 0.5000 0.5000
0.5000 0.0000 0.5000
0.5000 0.5000 0.0000
```

***

CaZr2Ru | PBE-GGA | relaxed

crystal system	monoclinic
energy above the most stable polymorph in this dataset	167	meV per atom

Cell and atoms, written as POSCAR:
```
CaZr2Ru
1.0
3.2650 0.0000 0.0000
0.0000 4.1874 0.0000
-1.5973 0.0000 6.7988
Ca Zr Ru
1 2 1
direct
0.0000 0.0000 0.0000
0.3982 0.5000 0.6887
0.6018 0.5000 0.3113
0.0000 0.0000 0.5000
```

***

CaZr2Ru2 | PBE-GGA | relaxed

crystal system	tetragonal
energy above the most stable polymorph in this dataset	0	meV per atom

Cell and atoms, written as POSCAR:
```
CaZr2Ru2
1.0
7.9141 0.0000 0.0000
0.0000 7.9141 0.0000
0.0000 0.0000 3.2456
Ca Zr Ru
2 4 4
direct
0.0000 0.0000 0.0000
0.5000 0.5000 0.0000
0.1449 0.3551 0.5000
0.3551 0.8551 0.5000
0.6449 0.1449 0.5000
0.8551 0.6449 0.5000
0.1439 0.6439 0.0000
0.3561 0.1439 0.0000
0.6439 0.8561 0.0000
0.8561 0.3561 0.0000
```

***

CaZrRu2 | PBE-GGA | relaxed

crystal system	monoclinic
energy above the most stable polymorph in this dataset	273	meV per atom

Cell and atoms, written as POSCAR:
```
CaZrRu2
1.0
4.2018 -1.6016 0.0000
4.2018 1.6016 0.0000
-1.0947 0.0000 6.0353
Ca Zr Ru
1 1 2
direct
0.0000 0.0000 0.0000
0.5000 0.5000 0.5000
0.2399 0.2399 0.6922
0.7601 0.7601 0.3078
```

***

no.,ΔH_f (0 K) (eV/atom)
1,-0.03
2,-0.04
3,0.11
4,-0.08
5,1.03
6,-0.05
7,0.32
8,0.14
9,0.23
10,0.07
11,-0.26
12,0.12